Below is crystalline LaY6Er3 at its relaxed geometry, with properties calculated at the PBE level.

Unit cell a=9.3624 b=10.0985 c=10.0985 alpha=136.70 beta=90.00 gamma=90.00
Last column: nearest neighbours and their distance in Å.
Fractional coordinates of all 20 atoms:
La (0.1198, 0.2106, 0.7894)  6 Y 3.25-3.42
La (0.6198, 0.7894, 0.2106)  6 Y 3.25-3.42
Y (0.0745, 0.8070, 0.6861)  3 Er 3.23-3.60, 4 Y 3.26-3.40, 1 La 3.42
Y (0.5745, 0.6861, 0.8070)  3 Er 3.23-3.60, 4 Y 3.26-3.40, 1 La 3.42
Y (0.3195, 0.5600, 0.9342)  2 La 3.25-3.41, 4 Y 3.26-3.40, 1 Er 3.36
Y (0.8195, 0.9342, 0.5600)  2 La 3.25-3.41, 4 Y 3.26-3.40, 1 Er 3.36
Y (0.2774, 0.9619, 0.0381)  6 Y 3.26-3.40
Y (0.6206, 0.2886, 0.7114)  6 Y 3.26-3.40
Y (0.1206, 0.7114, 0.2886)  6 Y 3.26-3.40
Y (0.7774, 0.0381, 0.9619)  6 Y 3.26-3.40
Y (0.3195, 0.0658, 0.4400)  2 La 3.25-3.41, 4 Y 3.26-3.40, 1 Er 3.36
Y (0.8195, 0.4400, 0.0658)  2 La 3.25-3.41, 4 Y 3.26-3.40, 1 Er 3.36
Y (0.0745, 0.3139, 0.1930)  3 Er 3.23-3.60, 4 Y 3.26-3.40, 1 La 3.42
Y (0.5745, 0.1930, 0.3139)  3 Er 3.23-3.60, 4 Y 3.26-3.40, 1 La 3.42
Er (0.4517, 0.8709, 0.6278)  8 Y 3.60-3.99, 4 Er 3.72-3.90, 2 La 3.98-3.99
Er (0.9517, 0.6278, 0.8709)  8 Y 3.60-3.99, 4 Er 3.72-3.90, 2 La 3.98-3.99
Er (0.2761, 0.4612, 0.5388)  6 Y 3.23-3.37
Er (0.7761, 0.5388, 0.4612)  6 Y 3.23-3.37
Er (0.9517, 0.1291, 0.3722)  8 Y 3.60-3.99, 4 Er 3.72-3.90, 2 La 3.98-3.99
Er (0.4517, 0.3722, 0.1291)  8 Y 3.60-3.99, 4 Er 3.72-3.90, 2 La 3.98-3.99

M_tot in Bohr magnetons per cell: 0.0
Energy relative to the lowest polymorph listed for this composition in meV/atom: 0
D(E_F) in states/eV per cell: 18.97
Energy of formation from the pure elements in meV per atom: 120